No. 1
VASP calculation (PBE) on CrPb2Cl6 after structural relaxation.

**Energy above the most stable polymorph in this dataset**: 0.27 eV per formula unit
**V**: 270 Å³/f.u.
**Space-group type**: No. 136
**N(E_F)**: 3.7 states/eV/f.u.

abc: 6.5634 6.5634 12.5273
angles: 90.00 90.00 90.00
Fractional positions:
Cl: 0.8175 0.1825 0.8589
Cl: 0.2871 0.2871 0.0000
Cl: 0.6825 0.6825 0.3589
Cl: 0.6825 0.6825 0.6411
Cl: 0.1825 0.8175 0.1411
Cl: 0.7129 0.7129 0.0000
Cl: 0.3175 0.3175 0.6411
Cl: 0.3175 0.3175 0.3589
Cl: 0.2129 0.7871 0.5000
Cl: 0.1825 0.8175 0.8589
Cl: 0.8175 0.1825 0.1411
Cl: 0.7871 0.2129 0.5000
Cr: 0.5000 0.5000 0.5000
Cr: 0.0000 0.0000 0.0000
Pb: 0.0000 0.0000 0.3371
Pb: 0.5000 0.5000 0.1629
Pb: 0.0000 0.0000 0.6629
Pb: 0.5000 0.5000 0.8371

No. 2
VASP calculation (PBE) on CrPb2Cl8 after structural relaxation.

**V**: 326 Å³/f.u.
**Space-group type**: No. 12
**N(E_F)**: 6.6 states/eV/f.u.

abc: 6.3165 6.8990 8.1216
angles: 90.29 112.88 90.00
Fractional positions:
Cl: 0.7715 0.7638 0.0407
Cl: 0.6870 0.4430 0.3741
Cl: 0.8456 0.9370 0.6911
Cl: 0.7308 0.2362 0.9593
Cl: 0.2285 0.2362 0.9593
Cl: 0.1544 0.0630 0.3089
Cl: 0.2692 0.7638 0.0407
Cl: 0.3130 0.5570 0.6259
Cr: 0.0000 0.0000 0.0000
Pb: 0.1373 0.4671 0.2747
Pb: 0.8627 0.5329 0.7253

No. 3
VASP calculation (PBE) on CrPbCl after structural relaxation.

**Energy above the most stable polymorph in this dataset**: 0.15 eV per formula unit
**V**: 79 Å³/f.u.
**Space-group type**: No. 42
**N(E_F)**: 1.8 states/eV/f.u.

abc: 8.3325 7.9961 3.3977
angles: 83.61 72.49 23.91
Fractional positions:
Pb: 0.6930 0.6930 0.3070
Cr: 0.3532 0.3532 0.6468
Cl: 0.9538 0.9538 0.0462

No. 4
VASP calculation (PBE) on Cr3PbCl after structural relaxation.

**Energy above the most stable polymorph in this dataset**: 0.00 eV per formula unit
**V**: 77 Å³/f.u.
**Space-group type**: No. 221
**N(E_F)**: 3.7 states/eV/f.u.

abc: 4.2564 4.2564 4.2564
angles: 90.00 90.00 90.00
Fractional positions:
Pb: 0.5000 0.5000 0.5000
Cr: 0.0000 0.0000 0.5000
Cr: 0.5000 0.0000 0.0000
Cr: 0.0000 0.5000 0.0000
Cl: 0.0000 0.0000 0.0000

No. 5
VASP calculation (PBE) on Rb2CrPbCl6 after structural relaxation.

**V**: 304 Å³/f.u.
**Space-group type**: No. 225
**N(E_F)**: 3.3 states/eV/f.u.

abc: 7.5469 7.5469 7.5513
angles: 60.02 60.02 90.00
Fractional positions:
Cl: 0.2676 0.7324 0.0000
Cl: 0.2676 0.2676 0.0000
Cl: 0.7324 0.7324 0.0000
Cl: 0.7324 0.2676 0.0000
Cl: 0.7327 0.7327 0.5347
Cl: 0.2673 0.2673 0.4653
Pb: 0.0000 0.0000 0.0000
Cr: 0.5000 0.5000 0.0000
Rb: 0.2500 0.7500 0.5000
Rb: 0.7500 0.2500 0.5000

No. 6
VASP calculation (PBE) on RbCrPb2Cl8 after structural relaxation.

**V**: 369 Å³/f.u.
**Space-group type**: No. 2

abc: 6.5838 6.3834 8.7867
angles: 89.60 89.93 88.27
Fractional positions:
Cl: 0.8564 0.2224 0.8081
Cl: 0.1471 0.7806 0.8100
Cl: 0.8529 0.2194 0.1900
Cl: 0.2957 0.2129 0.0010
Cl: 0.6087 0.7319 0.4990
Cl: 0.3913 0.2681 0.5010
Cl: 0.1436 0.7776 0.1919
Cl: 0.7043 0.7871 0.9990
Pb: 0.4998 0.4983 0.7611
Pb: 0.5002 0.5017 0.2389
Rb: 0.0000 0.0000 0.5000
Cr: 0.0000 0.0000 0.0000

No. 7
VASP calculation (PBE) on RbCr2PbCl8 after structural relaxation.

**V**: 392 Å³/f.u.
**Space-group type**: No. 119
**N(E_F)**: 9.3 states/eV/f.u.

abc: 8.0192 8.0192 8.0192
angles: 105.81 105.81 117.07
Fractional positions:
Pb: 0.2500 0.7500 0.5000
Cl: 0.3359 0.5270 0.1910
Cl: 0.8551 0.6641 0.1910
Cl: 0.3941 0.0606 0.3336
Cl: 0.3359 0.1449 0.8090
Cl: 0.4730 0.6641 0.8090
Cl: 0.9394 0.6059 0.6664
Cl: 0.7270 0.0606 0.6664
Cl: 0.9394 0.2730 0.3336
Cr: 0.5000 0.5000 0.0000
Cr: 0.7500 0.2500 0.5000
Rb: 0.0000 0.0000 0.0000

No. 8
VASP calculation (PBE) on CrPb2SeCl after structural relaxation.

**V**: 123 Å³/f.u.
**Space-group type**: No. 123
**N(E_F)**: 4.2 states/eV/f.u.

abc: 5.3749 4.2722 5.3749
angles: 90.00 90.00 90.00
Fractional positions:
Cr: 0.0000 0.0000 0.0000
Pb: 0.5000 0.0000 0.0000
Pb: 0.0000 0.0000 0.5000
Cl: 0.0000 0.5000 0.0000
Se: 0.5000 0.5000 0.5000

no.,formation energy (no corrections) (meV per atom)
1,-1043
2,-979
3,-41
4,891
5,-1412
6,-1226
7,-1100
8,65